1.
Entry from the Alexandria database: crystalline Ce4AsP2Br at its relaxed geometry (PBE).

a = 4.1473 Å, b = 7.2761 Å, c = 7.1761 Å
α = 70.81°, β = 90.00°, γ = 90.00°
Closest atoms and distances in Å follow each position.
Atoms (fractional coordinates):
Ce  0.0000  0.7657  0.7516  3 P 2.84-2.91, 2 As 2.99, 1 Br 3.05
Ce  0.0000  0.2343  0.2484  3 P 2.84-2.91, 2 As 2.99, 1 Br 3.05
Ce  0.5000  0.7727  0.2351  3 P 2.84-2.90, 1 As 3.00, 2 Br 3.06
Ce  0.5000  0.2273  0.7649  3 P 2.84-2.90, 1 As 3.00, 2 Br 3.06
As  0.5000  0.5000  0.0000  6 Ce 2.99-3.00
P  0.0000  0.0000  0.0000  6 Ce 2.84
P  0.5000  0.0000  0.5000  6 Ce 2.90-2.91
Br  0.0000  0.5000  0.5000  6 Ce 3.05-3.06

2.
Entry from the Alexandria database: crystalline Ce6As3P2Br at its relaxed geometry (PBE).

a = 4.1835 Å, b = 8.3693 Å, c = 9.3400 Å
α = 102.56°, β = 102.94°, γ = 90.00°
Closest atoms and distances in Å follow each position.
Atoms (fractional coordinates):
Ce  0.3284  0.9062  0.6568  2 P 2.91, 3 As 2.93-3.00, 1 Br 3.05
Ce  0.6690  0.5786  0.3379  3 P 2.91-2.93, 3 As 3.00-3.01
Ce  0.6716  0.0938  0.3432  2 P 2.91, 3 As 2.93-3.00, 1 Br 3.05
Ce  0.0041  0.2628  0.0082  1 P 2.89, 3 As 2.90-2.97, 2 Br 3.02
Ce  0.9959  0.7372  0.9918  1 P 2.89, 3 As 2.90-2.97, 2 Br 3.02
Ce  0.3310  0.4214  0.6621  3 P 2.91-2.93, 3 As 3.00-3.01
As  0.5000  0.5000  0.0000  6 Ce 2.90-3.00
As  0.8366  0.1662  0.6733  6 Ce 2.93-3.01
As  0.1634  0.8338  0.3267  6 Ce 2.93-3.01
P  0.8329  0.6667  0.6658  6 Ce 2.89-2.93
P  0.1671  0.3333  0.3342  6 Ce 2.89-2.93
Br  0.5000  0.0000  0.0000  6 Ce 3.02-3.05

3.
Entry from the Alexandria database: crystalline Ce6As2P3Br at its relaxed geometry (PBE).

a = 4.1499 Å, b = 8.3548 Å, c = 9.3280 Å
α = 103.48°, β = 102.85°, γ = 90.00°
Closest atoms and distances in Å follow each position.
Atoms (fractional coordinates):
Ce  0.3271  0.9202  0.6542  3 P 2.86-2.90, 2 As 2.98, 1 Br 3.05
Ce  0.6650  0.5878  0.3300  3 P 2.91-2.92, 3 As 2.99
Ce  0.6729  0.0798  0.3458  3 P 2.86-2.90, 2 As 2.98, 1 Br 3.05
Ce  0.9976  0.2678  0.9952  3 P 2.83-2.88, 1 As 2.98, 2 Br 3.06
Ce  0.0024  0.7322  0.0048  3 P 2.83-2.88, 1 As 2.98, 2 Br 3.06
Ce  0.3350  0.4122  0.6700  3 P 2.91-2.92, 3 As 2.99
As  0.8341  0.6689  0.6683  6 Ce 2.98-2.99
As  0.1659  0.3311  0.3317  6 Ce 2.98-2.99
P  0.5000  0.5000  0.0000  6 Ce 2.83-2.91
P  0.8346  0.1668  0.6692  6 Ce 2.86-2.92
P  0.1654  0.8332  0.3308  6 Ce 2.86-2.92
Br  0.5000  0.0000  0.0000  6 Ce 3.05-3.06

4.
Entry from the Alexandria database: crystalline Ce4AsS2Br at its relaxed geometry (PBE).

a = 4.1116 Å, b = 7.1918 Å, c = 7.1026 Å
α = 70.70°, β = 90.00°, γ = 90.00°
Closest atoms and distances in Å follow each position.
Atoms (fractional coordinates):
Ce  0.0000  0.7671  0.7520  3 S 2.80-2.87, 2 As 2.96, 1 Br 3.03
Ce  0.0000  0.2329  0.2480  3 S 2.80-2.87, 2 As 2.96, 1 Br 3.03
Ce  0.5000  0.7739  0.2343  3 S 2.80-2.87, 1 As 2.97, 2 Br 3.04
Ce  0.5000  0.2261  0.7657  3 S 2.80-2.87, 1 As 2.97, 2 Br 3.03
As  0.5000  0.5000  0.0000  6 Ce 2.96-2.97
S  0.0000  0.0000  0.0000  6 Ce 2.80
S  0.5000  0.0000  0.5000  6 Ce 2.87
Br  0.0000  0.5000  0.5000  6 Ce 3.03-3.04

5.
Entry from the Alexandria database: crystalline Ce6As3S2Br at its relaxed geometry (PBE).

a = 4.1716 Å, b = 8.3040 Å, c = 9.2656 Å
α = 101.95°, β = 103.01°, γ = 90.00°
Closest atoms and distances in Å follow each position.
Atoms (fractional coordinates):
Ce  0.3286  0.9062  0.6572  2 S 2.90, 3 As 2.92-2.98, 1 Br 3.03
Ce  0.6687  0.5793  0.3375  3 S 2.88-2.91, 3 As 2.98-2.99
Ce  0.6714  0.0938  0.3428  2 S 2.90, 3 As 2.92-2.98, 1 Br 3.03
Ce  0.0044  0.2613  0.0088  1 S 2.89, 3 As 2.89-2.96, 2 Br 3.00
Ce  0.9956  0.7387  0.9912  1 S 2.89, 3 As 2.89-2.96, 2 Br 3.00
Ce  0.3313  0.4207  0.6625  3 S 2.88-2.91, 3 As 2.98-2.99
As  0.5000  0.5000  0.0000  6 Ce 2.89-2.98
As  0.8366  0.1663  0.6733  6 Ce 2.92-2.99
As  0.1634  0.8337  0.3267  6 Ce 2.92-2.99
S  0.8319  0.6647  0.6639  6 Ce 2.88-2.91
S  0.1681  0.3353  0.3361  6 Ce 2.88-2.91
Br  0.5000  0.0000  0.0000  6 Ce 3.00-3.03

6.
Entry from the Alexandria database: crystalline Ce4As2SBr at its relaxed geometry (PBE).

a = 4.1921 Å, b = 7.1643 Å, c = 7.3087 Å
α = 70.34°, β = 90.00°, γ = 90.00°
Closest atoms and distances in Å follow each position.
Atoms (fractional coordinates):
Ce  0.0000  0.7478  0.7613  3 As 2.90-3.00, 2 S 2.92, 1 Br 3.01
Ce  0.0000  0.2522  0.2387  3 As 2.90-3.00, 2 S 2.92, 1 Br 3.01
Ce  0.5000  0.7554  0.2369  3 As 2.90-3.01, 1 S 2.91, 2 Br 3.01
Ce  0.5000  0.2446  0.7631  3 As 2.90-3.01, 1 S 2.91, 2 Br 3.01
As  0.0000  0.0000  0.0000  6 Ce 2.90
As  0.5000  0.0000  0.5000  6 Ce 3.00-3.01
S  0.5000  0.5000  0.0000  6 Ce 2.91-2.92
Br  0.0000  0.5000  0.5000  6 Ce 3.01

7.
Entry from the Alexandria database: crystalline Ce6As3Se2Br at its relaxed geometry (PBE).

a = 4.2286 Å, b = 8.4457 Å, c = 9.4381 Å
α = 102.63°, β = 102.95°, γ = 90.00°
Closest atoms and distances in Å follow each position.
Atoms (fractional coordinates):
Ce  0.3287  0.9171  0.6574  3 As 2.93-2.97, 2 Se 3.00, 1 Br 3.07
Ce  0.6658  0.5862  0.3317  3 As 2.97, 3 Se 3.00-3.01
Ce  0.6713  0.0829  0.3426  3 As 2.93-2.97, 2 Se 3.00, 1 Br 3.07
Ce  0.9995  0.2617  0.9990  3 As 2.92-2.95, 1 Se 3.00, 2 Br 3.06
Ce  0.0005  0.7383  0.0010  3 As 2.92-2.95, 1 Se 3.00, 2 Br 3.06
Ce  0.3342  0.4138  0.6683  3 As 2.97, 3 Se 3.00-3.01
As  0.5000  0.5000  0.0000  6 Ce 2.92-2.97
As  0.8348  0.1665  0.6697  6 Ce 2.93-2.97
As  0.1652  0.8335  0.3303  6 Ce 2.93-2.97
Se  0.8332  0.6667  0.6665  6 Ce 3.00-3.01
Se  0.1668  0.3333  0.3335  6 Ce 3.00-3.01
Br  0.5000  0.0000  0.0000  6 Ce 3.06-3.07

8.
Entry from the Alexandria database: crystalline Ce6As2Se3Br at its relaxed geometry (PBE).

a = 4.2180 Å, b = 8.4291 Å, c = 9.4226 Å
α = 102.87°, β = 102.93°, γ = 90.00°
Closest atoms and distances in Å follow each position.
Atoms (fractional coordinates):
Ce  0.3298  0.9120  0.6596  3 Se 2.94-3.00, 2 As 2.96, 1 Br 3.04
Ce  0.6680  0.5804  0.3359  3 As 2.96-2.97, 3 Se 3.00
Ce  0.6702  0.0880  0.3404  3 Se 2.94-3.00, 2 As 2.96, 1 Br 3.04
Ce  0.0014  0.2599  0.0028  3 Se 2.93-2.98, 1 As 2.95, 2 Br 3.04
Ce  0.9986  0.7401  0.9972  3 Se 2.93-2.98, 1 As 2.95, 2 Br 3.04
Ce  0.3320  0.4196  0.6641  3 As 2.96-2.97, 3 Se 3.00
As  0.8338  0.6681  0.6675  6 Ce 2.95-2.97
As  0.1662  0.3319  0.3325  6 Ce 2.95-2.97
Se  0.5000  0.5000  0.0000  6 Ce 2.93-3.00
Se  0.8345  0.1672  0.6691  6 Ce 2.94-3.00
Se  0.1655  0.8328  0.3309  6 Ce 2.94-3.00
Br  0.5000  0.0000  0.0000  6 Ce 3.04

9.
Entry from the Alexandria database: crystalline As4BrCl at its relaxed geometry (PBE).

a = 6.0085 Å, b = 6.0085 Å, c = 6.0085 Å
α = 60.00°, β = 60.00°, γ = 60.00°
Closest atoms and distances in Å follow each position.
Atoms (fractional coordinates):
As  0.3540  0.9379  0.3540  3 As 2.50
As  0.9379  0.3540  0.3540  3 As 2.50
As  0.3540  0.3540  0.9379  3 As 2.50
As  0.3540  0.3540  0.3540  3 As 2.50
Br  0.7500  0.7500  0.7500  12 As 3.59, 4 Cl 3.68
Cl  0.0000  0.0000  0.0000  12 As 3.48, 4 Br 3.68

10.
Entry from the Alexandria database: crystalline AsBrCl3 at its relaxed geometry (PBE).

a = 6.8619 Å, b = 7.2046 Å, c = 8.9065 Å
α = 90.02°, β = 90.03°, γ = 89.01°
Closest atoms and distances in Å follow each position.
Atoms (fractional coordinates):
As  0.2703  0.8430  0.7006  3 Cl 2.22-2.23, 1 Br 2.47
As  0.7741  0.5098  0.2008  3 Cl 2.22-2.23, 1 Br 2.47
Br  0.3646  0.5111  0.7020  1 As 2.47
Br  0.8621  0.8405  0.2007  1 As 2.47
Cl  0.4561  0.4482  0.2012  1 As 2.23
Cl  0.3910  0.9911  0.8973  1 As 2.22
Cl  0.8985  0.3612  0.3978  1 As 2.22
Cl  0.9510  0.9090  0.7004  1 As 2.23
Cl  0.8975  0.3606  0.0038  1 As 2.22
Cl  0.3910  0.9893  0.5031  1 As 2.22

Output
**Polymorph energy (0 for the lowest one)**: 0.000 kcal/mol of atoms

11.
Entry from the Alexandria database: crystalline As3BrCl at its relaxed geometry (PBE).

a = 5.0118 Å, b = 5.0118 Å, c = 5.0118 Å
α = 90.00°, β = 90.00°, γ = 90.00°
Closest atoms and distances in Å follow each position.
Atoms (fractional coordinates):
As  0.0000  0.5000  0.0000  2 Cl 2.51
As  0.0000  0.0000  0.5000  2 Cl 2.51
As  0.5000  0.0000  0.0000  2 Cl 2.51
Br  0.5000  0.5000  0.5000  12 As 3.54
Cl  0.0000  0.0000  0.0000  6 As 2.51

Output
**Polymorph energy (0 for the lowest one)**: 0.000 kcal/mol of atoms

12.
Entry from the Alexandria database: crystalline AsBrCl3 at its relaxed geometry (PBE).

a = 7.2263 Å, b = 11.2743 Å, c = 11.3325 Å
α = 75.99°, β = 90.00°, γ = 90.00°
Closest atoms and distances in Å follow each position.
Atoms (fractional coordinates):
As  0.3472  0.2699  0.9609  3 Cl 2.22, 1 Br 2.47
As  0.6528  0.7301  0.0391  3 Cl 2.22, 1 Br 2.47
As  0.8472  0.2301  0.5391  3 Cl 2.22, 1 Br 2.47
As  0.1528  0.7699  0.4609  3 Cl 2.22, 1 Br 2.47
Br  0.8168  0.7847  0.4960  1 As 2.47
Br  0.1832  0.2153  0.5040  1 As 2.47
Br  0.3168  0.7153  0.0040  1 As 2.47
Br  0.6832  0.2847  0.9960  1 As 2.47
Cl  0.1869  0.2833  0.1243  1 As 2.22
Cl  0.8131  0.7167  0.8757  1 As 2.22
Cl  0.6869  0.2167  0.3757  1 As 2.22
Cl  0.3131  0.7833  0.6243  1 As 2.22
Cl  0.2419  0.5947  0.4214  1 As 2.22
Cl  0.7581  0.4053  0.5786  1 As 2.22
Cl  0.7419  0.9053  0.0786  1 As 2.22
Cl  0.2581  0.0947  0.9214  1 As 2.22
Cl  0.7364  0.0830  0.6901  1 As 2.22
Cl  0.2636  0.9170  0.3099  1 As 2.22
Cl  0.2364  0.4170  0.8099  1 As 2.22
Cl  0.7636  0.5830  0.1901  1 As 2.22

Output
**Polymorph energy (0 for the lowest one)**: 0.003 kcal/mol of atoms

For reference, E by record: -6.563, -6.601, -6.690, -6.467, -6.553, -6.381, -6.392, -6.344, -3.441, -2.816, -2.357, -2.816 eV per atom.
For reference, ρ by record: 6.31, 6.45, 6.31, 6.53, 6.57, 6.61, 6.76, 6.83, 4.49, 1.97, 4.49, 1.94 Mg/m³.